# 1
A plane-wave DFT calculation with PBE was carried out for a relaxed structure of CaSbRh2.

Geometry as extended XYZ:
```
4
Lattice="-2.6955 1.1449 3.4380 -4.4748 -0.4760 -0.3825 -2.0602 -4.2511 2.7630" Properties=species:S:1:pos:R:3 pbc="T T T"
Sb -2.3076 -0.8955 1.4546
Ca -6.9229 -2.6866 4.3639
Rh -7.1234 0.0370 3.3017
Rh -4.6622 -1.1591 2.6630
```

Its density is 7.18 g/cm3. The space group is R-3m, No. 166. The crystal system is trigonal.

# 2
A plane-wave DFT calculation with PBE was carried out for a relaxed structure of CaSbRh2.

Geometry as extended XYZ:
```
4
Lattice="3.1293 -0.4361 -5.3282 -4.6627 -3.3567 2.3162 -4.4864 2.4220 3.5184" Properties=species:S:1:pos:R:3 pbc="T T T"
Ca 0.0000 0.0000 0.0000
Sb -4.5746 -0.4673 2.9173
Rh -2.4114 -0.2463 1.5378
Rh -6.7377 -0.6883 4.2968
```

Its density is 7.33 g/cm3. The space group is Immm, No. 71. The crystal system is orthorhombic.

Formation energy from raw total energies list, top to bottom, in eV per atom: -0.5392, 0.2290
Total moment list, top to bottom, in μB/f.u.: 0.00, 0.00